## Al2TcOs (PBE-GGA)

Data for a relaxed structure of Al2TcOs.

a b c (Å): 4.9522 4.9522 2.7882
angles (deg): 76.48 76.48 111.63
Closest atoms and distances in Å follow each position.
Sites, in units of the cell vectors:
Os 0.5000 0.0000 0.5000  4 Al 2.54, 2 Tc 2.78, 2 Os 2.79
Tc 0.0000 0.5000 0.5000  4 Al 2.54, 2 Os 2.78, 2 Tc 2.79
Al 0.0000 0.0000 0.0000  2 Os 2.54, 2 Tc 2.54, 4 Al 2.78-2.79
Al 0.5000 0.5000 0.0000  2 Tc 2.54, 2 Os 2.54, 4 Al 2.78-2.79

Results
As for the energy of formation from the pure elements: -0.166 eV/atom. Its space group is No. 12. The calculated volume is 14.45 Å³ per atom. The total energy comes out at -7.44 eV per atom. For the energy above the most stable polymorph in this dataset, the calculation gives 170 meV per atom. As for the magnetic moment: 0.00 μB per formula unit.